(1)
! TaNiIr SCAN PBEsol geometry; values from VASP
! Calculated formation energy ... -0.4983 eV per atom
! Polymorph energy (0 for the lowest one) ... 0 meV per atom
! V ... 42 Å³/cell
! Symmetry ... Imm2
! Electronic total energy ... -51.784 eV/atom
&SYSTEM
  ibrav = 0, nat = 3, ntyp = 3
/
ATOMIC_SPECIES
Ta 180.95 Ta.upf
Ni 58.69 Ni.upf
Ir 192.22 Ir.upf
ATOMIC_POSITIONS angstrom
Ta 0.000 0.000 0.000
Ni 0.000 0.000 2.742
Ir 0.000 0.000 5.467
CELL_PARAMETERS angstrom
-1.454 1.776 4.083
1.454 -1.776 4.083
1.454 1.776 -4.083

(2)
! CrOsRh2 SCAN PBEsol geometry; values from VASP
! Calculated formation energy ... -0.0342 eV per atom
! Polymorph energy (0 for the lowest one) ... 56 meV per atom
! V ... 52 Å³/cell
! Symmetry ... Cm
! Electronic total energy ... -39.486 eV/atom
&SYSTEM
  ibrav = 0, nat = 4, ntyp = 3
/
ATOMIC_SPECIES
Cr 52.00 Cr.upf
Os 190.23 Os.upf
Rh 102.91 Rh.upf
ATOMIC_POSITIONS angstrom
Cr 0.000 0.000 0.000
Os 1.609 0.000 3.390
Rh 3.986 0.000 2.287
Rh 6.322 0.000 1.064
CELL_PARAMETERS angstrom
4.380 -1.319 0.000
4.380 1.319 0.000
-0.827 0.000 4.533

(3)
! Sc2BeNb SCAN PBEsol geometry; values from VASP
! Calculated formation energy ... 0.4993 eV per atom
! V ... 74 Å³/cell
! Symmetry ... R-3m
! Electronic total energy ... -15.990 eV/atom
&SYSTEM
  ibrav = 0, nat = 4, ntyp = 3
/
ATOMIC_SPECIES
Sc 44.96 Sc.upf
Be 9.01 Be.upf
Nb 92.91 Nb.upf
ATOMIC_POSITIONS angstrom
Sc 0.000 0.000 2.845
Sc 0.000 0.000 26.349
Be 0.000 0.000 14.597
Nb 0.000 0.000 0.000
CELL_PARAMETERS angstrom
1.485 0.857 9.731
-1.485 0.857 9.731
0.000 -1.714 9.731

(4)
! KIn2Ni SCAN PBEsol geometry; values from VASP
! Calculated formation energy ... 0.3455 eV per atom
! V ... 86 Å³/cell
! Symmetry ... Fm-3m
! Electronic total energy ... -22.473 eV/atom
&SYSTEM
  ibrav = 0, nat = 4, ntyp = 3
/
ATOMIC_SPECIES
K 39.10 K.upf
In 114.82 In.upf
Ni 58.69 Ni.upf
ATOMIC_POSITIONS angstrom
K 0.000 0.000 0.000
In 1.751 1.751 1.751
In 5.252 5.252 5.252
Ni 3.501 3.501 3.501
CELL_PARAMETERS angstrom
0.000 3.501 3.501
3.501 0.000 3.501
3.501 3.501 0.000

(5)
! TaMo3 SCAN PBEsol geometry; values from VASP
! Calculated formation energy ... -0.1405 eV per atom
! V ... 126 Å³/cell
! Symmetry ... C2/m
! Electronic total energy ... -42.950 eV/atom
&SYSTEM
  ibrav = 0, nat = 8, ntyp = 2
/
ATOMIC_SPECIES
Ta 180.95 Ta.upf
Mo 95.94 Mo.upf
ATOMIC_POSITIONS angstrom
Ta 0.490 0.000 1.504
Ta 5.516 0.000 6.493
Mo -1.519 0.000 5.478
Mo 3.466 0.000 0.509
Mo 1.512 0.000 4.475
Mo 4.494 0.000 3.523
Mo 2.540 0.000 7.488
Mo 7.525 0.000 2.519
CELL_PARAMETERS angstrom
5.006 -1.577 0.000
5.006 1.577 0.000
-4.005 0.000 7.997

(6)
! Li2SiAg SCAN PBEsol geometry; values from VASP
! V ... 61 Å³/cell
! Symmetry ... P4mm
! Electronic total energy ... -11.556 eV/atom
&SYSTEM
  ibrav = 0, nat = 4, ntyp = 3
/
ATOMIC_SPECIES
Li 6.94 Li.upf
Si 28.09 Si.upf
Ag 107.87 Ag.upf
ATOMIC_POSITIONS angstrom
Li 0.000 0.000 0.000
Li 1.606 1.606 1.560
Si 0.000 0.000 2.977
Ag 1.606 1.606 4.367
CELL_PARAMETERS angstrom
3.213 0.000 0.000
0.000 3.213 0.000
0.000 0.000 5.861

(7)
! Fe2NiCl SCAN PBEsol geometry; values from VASP
! Polymorph energy (0 for the lowest one) ... 210 meV per atom
! V ... 51 Å³/cell
! Symmetry ... Cmm2
! Electronic total energy ... -14.884 eV/atom
&SYSTEM
  ibrav = 0, nat = 4, ntyp = 3
/
ATOMIC_SPECIES
Fe 55.84 Fe.upf
Ni 58.69 Ni.upf
Cl 35.45 Cl.upf
ATOMIC_POSITIONS angstrom
Fe 0.000 0.000 0.000
Fe 1.531 0.000 1.810
Ni 1.531 0.000 5.580
Cl 0.000 0.000 3.665
CELL_PARAMETERS angstrom
1.531 -2.279 0.000
1.531 2.279 0.000
0.000 0.000 7.343

(8)
! Sr2AsPb SCAN PBEsol geometry; values from VASP
! Calculated formation energy ... -0.5563 eV per atom
! V ... 137 Å³/cell
! Symmetry ... P4mm
! Electronic total energy ... -35.687 eV/atom
&SYSTEM
  ibrav = 0, nat = 4, ntyp = 3
/
ATOMIC_SPECIES
Sr 87.62 Sr.upf
As 74.92 As.upf
Pb 207.20 Pb.upf
ATOMIC_POSITIONS angstrom
Sr 0.000 0.000 0.000
Sr 2.298 2.298 3.081
As 0.000 0.000 3.242
Pb 2.298 2.298 6.279
CELL_PARAMETERS angstrom
4.597 0.000 0.000
0.000 4.597 0.000
0.000 0.000 6.477

Question: Which value of V does entry 3 give?
Answer: 74 Å³/cell

Question: Which of these has the highest electronic total energy?
Answer: Li2SiAg

Question: Which of these has the lowest electronic total energy?
Answer: TaNiIr